Material: UI4Cl
Method: DFT, PBE
State: optimized geometry

Cell: 9.5936 6.1221 9.2717 Å, 109.28 83.76 90.00°
With the nearest neighbours (Å) after each atom.
Atoms (fractional coordinates):
U: 0.2816 0.5565 0.1130  1 I 2.90, 2 Cl 3.10
U: 0.7184 0.4435 0.8870  1 I 2.90, 2 Cl 3.10
I: 0.1677 0.7174 0.4347  1 U 2.90
I: 0.4211 0.1511 0.7974  2 I 3.03-3.09, 1 U 3.30
I: 0.0000 0.2531 0.0000  2 I 3.02-3.10, 2 U 3.34
I: 0.5789 0.3537 0.2026  2 I 3.03-3.09, 1 U 3.30
I: 0.8323 0.2826 0.5653  1 U 2.90
I: 0.5789 0.8489 0.2026  2 I 3.03-3.09, 1 U 3.30
I: 0.0000 0.7469 0.0000  2 I 3.02-3.10, 2 U 3.34
I: 0.4211 0.6463 0.7974  2 I 3.03-3.09, 1 U 3.30
Cl: 0.7398 0.9177 0.8355  2 U 3.10, 2 I 3.40
Cl: 0.2602 0.0823 0.1645  2 U 3.10, 2 I 3.40

Properties
* space-group type: C2/m, No. 12
* distance to the lowest polymorph of the same formula: 1.67 eV/f.u.
* raw formation energy: -357 kJ/mol of formula units


Material: Ba3Tl2Sn2
Method: DFT, PBE
State: optimized geometry

Cell: 5.2628 6.9818 8.8116 Å, 109.97 90.00 112.14°
With the nearest neighbours (Å) after each atom.
Atoms (fractional coordinates):
Ba: 0.3313 0.6626 0.3726  1 Tl 3.45, 5 Sn 3.60-3.79
Ba: 0.6687 0.3374 0.6274  1 Tl 3.45, 5 Sn 3.60-3.79
Ba: 0.5000 0.0000 0.0000  4 Tl 3.59, 4 Sn 3.93
Tl: 0.8239 0.6477 0.0412  1 Sn 3.02, 2 Tl 3.17
Tl: 0.1761 0.3523 0.9588  1 Sn 3.02, 2 Tl 3.17
Sn: 0.9679 0.9358 0.6549  1 Tl 3.02, 1 Sn 3.13
Sn: 0.0321 0.0642 0.3451  1 Tl 3.02, 1 Sn 3.13

Properties
* space-group type: C2/m, No. 12


Material: Pu5TeAs4
Method: DFT, PBE
State: optimized geometry

Cell: 4.1856 7.2753 9.4015 Å, 75.19 77.14 73.28°
With the nearest neighbours (Å) after each atom.
Atoms (fractional coordinates):
Pu: 0.2047 0.9047 0.6858  5 As 2.90-2.95, 1 Te 3.08
Pu: 0.7953 0.0953 0.3142  5 As 2.90-2.95, 1 Te 3.08
Pu: 0.3911 0.3237 0.8941  4 As 2.91-2.97, 2 Te 3.08
Pu: 0.0000 0.5000 0.5000  6 As 2.95-2.97
Pu: 0.6089 0.6763 0.1059  4 As 2.91-2.97, 2 Te 3.08
Te: 0.0000 0.0000 0.0000  6 Pu 3.08
As: 0.5961 0.2049 0.6030  6 Pu 2.90-2.95
As: 0.2036 0.3883 0.2046  6 Pu 2.91-2.97
As: 0.7964 0.6117 0.7954  6 Pu 2.91-2.97
As: 0.4039 0.7951 0.3970  6 Pu 2.90-2.95

Properties
* space-group type: C2/m, No. 12
* raw formation energy: -962 kJ/mol of formula units


Material: PuAgBr4
Method: DFT, PBE
State: optimized geometry

Cell: 4.2486 7.9481 7.1940 Å, 115.17 90.00 105.50°
With the nearest neighbours (Å) after each atom.
Atoms (fractional coordinates):
Pu: 0.5000 0.0000 0.5000  6 Br 2.85-2.90
Ag: 0.0000 0.0000 0.0000  6 Br 2.86-3.12
Br: 0.3901 0.7802 0.0605  1 Pu 2.85, 2 Ag 2.86
Br: 0.1245 0.2491 0.4798  2 Pu 2.90, 1 Ag 3.12
Br: 0.6099 0.2198 0.9395  1 Pu 2.85, 2 Ag 2.86
Br: 0.8755 0.7509 0.5202  2 Pu 2.90, 1 Ag 3.12

Properties
* space-group type: C2/m, No. 12
* raw formation energy: -641 kJ/mol of formula units


Material: Nd3Sm4Er8
Method: DFT, PBE
State: optimized geometry

Cell: 6.7518 9.2908 9.2908 Å, 87.53 111.29 111.29°
With the nearest neighbours (Å) after each atom.
Atoms (fractional coordinates):
Nd: 0.5000 0.5000 0.0000  4 Er 3.22-3.36, 2 Sm 3.38
Nd: 0.5000 0.0000 0.5000  4 Er 3.22-3.36, 2 Sm 3.38
Nd: 0.5000 0.5000 0.5000  6 Er 3.15-3.23
Sm: 0.5000 0.0000 0.0000  6 Er 3.28-3.49, 2 Sm 3.38
Sm: 0.0000 0.5000 0.0000  4 Er 3.22-3.36, 2 Nd 3.38
Sm: 0.0000 0.0000 0.0000  2 Sm 3.38, 4 Er 3.55-3.57
Sm: 0.0000 0.0000 0.5000  4 Er 3.22-3.36, 2 Nd 3.38
Er: 0.5298 0.2672 0.2672  3 Nd 3.22-3.23, 2 Er 3.23-3.52, 2 Sm 3.49-3.57
Er: 0.0000 0.6389 0.3611  7 Er 3.57-3.64, 2 Sm 3.65, 4 Nd 3.65-3.82
Er: 0.0073 0.2661 0.2661  4 Sm 3.22-3.55, 1 Nd 3.23, 2 Er 3.23-3.52
Er: 0.5000 0.7448 0.2552  3 Nd 3.15-3.36, 3 Sm 3.28-3.36
Er: 0.5000 0.2552 0.7448  3 Nd 3.15-3.36, 3 Sm 3.28-3.36
Er: 0.9927 0.7339 0.7339  4 Sm 3.22-3.55, 1 Nd 3.23, 2 Er 3.23-3.52
Er: 0.0000 0.3611 0.6389  7 Er 3.57-3.64, 2 Sm 3.65, 4 Nd 3.65-3.82
Er: 0.4702 0.7328 0.7328  3 Nd 3.22-3.23, 2 Er 3.23-3.52, 2 Sm 3.49-3.57

Properties
* space-group type: C2/m, No. 12


Material: PrDy3Ho2
Method: DFT, PBE
State: optimized geometry

Cell: 7.1797 10.2003 7.1716 Å, 79.99 119.85 121.80°
With the nearest neighbours (Å) after each atom.
Atoms (fractional coordinates):
Pr: 0.2508 0.0005 0.2502  3 Ho 3.55-3.56, 7 Dy 3.56-3.59, 2 Pr 3.59-3.60
Pr: 0.7492 0.9995 0.7498  3 Ho 3.55-3.56, 7 Dy 3.56-3.59, 2 Pr 3.59-3.60
Dy: 0.2504 0.0003 0.7502  3 Ho 3.55-3.56, 5 Dy 3.55-3.60, 4 Pr 3.58-3.59
Dy: 0.7496 0.9997 0.2498  3 Ho 3.55-3.56, 5 Dy 3.55-3.60, 4 Pr 3.58-3.59
Dy: 0.8028 0.6634 0.8604  6 Ho 3.49-3.60, 4 Dy 3.51-3.59, 2 Pr 3.56-3.57
Dy: 0.1963 0.3353 0.6390  5 Dy 3.51-3.59, 6 Ho 3.51-3.60, 1 Pr 3.56
Dy: 0.8037 0.6647 0.3610  5 Dy 3.51-3.59, 6 Ho 3.51-3.60, 1 Pr 3.56
Dy: 0.1972 0.3366 0.1396  6 Ho 3.49-3.60, 4 Dy 3.51-3.59, 2 Pr 3.56-3.57
Ho: 0.3025 0.6635 0.3601  7 Dy 3.49-3.60, 3 Ho 3.50-3.59, 2 Pr 3.56
Ho: 0.3032 0.6648 0.8609  3 Ho 3.50-3.59, 8 Dy 3.51-3.60, 1 Pr 3.55
Ho: 0.6968 0.3352 0.1391  3 Ho 3.50-3.59, 8 Dy 3.51-3.60, 1 Pr 3.55
Ho: 0.6975 0.3365 0.6399  7 Dy 3.49-3.60, 3 Ho 3.50-3.59, 2 Pr 3.56

Properties
* space-group type: P-1, No. 2
* distance to the lowest polymorph of the same formula: 0.00 eV/f.u.


Material: K2SeBr6
Method: DFT, PBE
State: optimized geometry

Cell: 7.6638 7.5350 7.5350 Å, 59.56 59.78 59.78°
With the nearest neighbours (Å) after each atom.
Atoms (fractional coordinates):
K: 0.7525 0.7517 0.7517  7 Br 3.41-3.77
K: 0.2475 0.2483 0.2483  7 Br 3.41-3.77
Se: 0.0000 0.0000 0.0000  6 Br 2.61
Br: 0.2068 0.2763 0.7860  1 Se 2.61
Br: 0.2998 0.7591 0.7591  1 Se 2.61
Br: 0.2068 0.7860 0.2763  1 Se 2.61
Br: 0.7932 0.7237 0.2140  1 Se 2.61
Br: 0.7002 0.2409 0.2409  1 Se 2.61
Br: 0.7932 0.2140 0.7237  1 Se 2.61

Properties
* space-group type: C2/m, No. 12
* distance to the lowest polymorph of the same formula: 0.03 eV/f.u.
* raw formation energy: -763 kJ/mol of formula units


Material: BaMnAl2Sn
Method: DFT, PBE
State: optimized geometry

Cell: 5.7999 5.4164 5.7999 Å, 90.00 90.00 90.00°
With the nearest neighbours (Å) after each atom.
Atoms (fractional coordinates):
Al: 0.0000 0.0000 0.5000  2 Ba 2.90
Al: 0.5000 0.0000 0.0000  2 Ba 2.90
Mn: 0.0000 0.5000 0.0000  2 Ba 2.71
Ba: 0.0000 0.0000 0.0000  2 Mn 2.71, 4 Al 2.90
Sn: 0.5000 0.5000 0.5000  8 Al 3.97, 4 Mn 4.10

Properties
* space-group type: P4/mmm, No. 123


no.,N(E_F) (states/eV/f.u.),total DFT energy (no corrections) (eV/cell)
1,7.2,-46.1
2,4.8,-22.0
3,55.1,-103.4
4,11.3,-30.5
5,30.6,-64.1
6,7.5,-55.5
7,0.0,-23.6
8,3.5,-14.8